The following is a DFT calculation (GGA-PBE) of a relaxed OsRuPt crystal.

Cell: 2.7414 2.7414 6.7551 Å, 90.00 90.00 120.00°
Space group P3m1 (No. 156)
Unique sites:
Os  0.0000  0.0000  0.0000 [1 per cell]
Ru  0.3333  0.6667  0.6928 [1 per cell]
Pt  0.6667  0.3333  0.3466 [1 per cell]

Results
Energy relative to the elements: 42 meV per atom
Density of states at the Fermi level: 0.815 states/eV/atom
Volume: 14.7 Å³/atom



The following is a DFT calculation (GGA-PBE) of a relaxed SrSmPd4 crystal.

Cell: 7.845 7.845 7.845 Å, 90.00 90.00 90.00°
Space group F-43m (No. 216)
Unique sites:
Sr  0.000  0.000  0.000 [4 per cell]
Sm  0.250  0.250  0.750 [4 per cell]
Pd  0.125  0.125  0.375 [16 per cell]

Results
Energy relative to the elements: -679 meV per atom
Density of states at the Fermi level: 1.113 states/eV/atom
Volume: 20.1 Å³/atom